Material: PrAgHg5
Method: DFT, GGA-PBE
State: relaxed

The space group is P4/mmm (No. 123) and the conventional cell measures 4.8936, 4.8936 and 7.5130 Å, with angles of 90.00, 90.00 and 90.00 degrees. The distinct sites, in fractional coordinates, are Pr at (0.0000, 0.0000, 0.0000), Ag at (0.0000, 0.0000, 0.5000), Hg at (0.0000, 0.5000, 0.2898) and Hg at (0.5000, 0.5000, 0.0000).

The total energy comes out at -1.52 eV/atom. The crystal system is tetragonal. The spin magnetization comes out at 0.000 μB/f.u. Its density of states at the Fermi level is 0.7049 states/eV per atom.

***

Material: Pr2AgHg6
Method: DFT, GGA-PBE
State: relaxed

The space group is C2/m (No. 12) and the conventional cell measures 11.6705, 8.1851 and 5.6856 Å, with angles of 90.00, 117.63 and 90.00 degrees. The distinct sites, in fractional coordinates, are Pr at (0.1865, 0.0000, 0.2903), Ag at (0.0000, 0.5000, 0.5000), Hg at (0.0000, 0.3245, 0.0000) and Hg at (0.1425, 0.1877, 0.7281).

The total energy comes out at -1.78 eV/atom. The crystal system is monoclinic. The spin magnetization comes out at 0.000 μB/f.u. Its density of states at the Fermi level is 0.5795 states/eV per atom.